DFT (PBE) results for a geometry-optimized Li5TiS5 structure.

Calculated values
N(E_F) = 0.65 states/eV per atom
formation energy from raw total energies = -1.14 eV per atom

Cell lengths 11.8642, 4.8909, 7.1845 Å; angles 90.00, 108.91, 90.00 degrees
With the nearest neighbours (Å) after each atom.
Space group C2/m (No. 12)
Unique sites:
Li (0.0000, 0.0000, 0.0000) (multiplicity 2)  4 S 2.41-2.61
Li (0.1907, 0.5000, 0.3666) (multiplicity 4)  4 S 2.43-2.56
Li (0.1980, 0.5000, 0.8246) (multiplicity 4)  5 S 2.44-2.72
Ti (0.0000, 0.0000, 0.5000) (multiplicity 2)  6 S 2.43-2.45
S (0.0000, 0.5000, 0.5000) (multiplicity 2)  2 Ti 2.45, 4 Li 2.72-2.73
S (0.1444, 0.0000, 0.3251) (multiplicity 4)  5 Li 2.41-2.50, 1 Ti 2.43
S (0.1581, 0.0000, 0.8186) (multiplicity 4)  1 Ti 2.44, 5 Li 2.49-2.61

***

DFT (PBE) results for a geometry-optimized CdAsRhO5 structure.

Calculated values
N(E_F) = 0.22 states/eV per atom
formation energy from raw total energies = -0.99 eV per atom

Cell lengths 6.9160, 8.9400, 7.3078 Å; angles 90.00, 114.33, 90.00 degrees
With the nearest neighbours (Å) after each atom.
Space group C2/c (No. 15)
Unique sites:
Cd (0.0000, 0.1716, 0.2500) (multiplicity 4)  3 O 2.15-2.40
As (0.0000, 0.1774, 0.7500) (multiplicity 4)  4 O 1.75-1.76
Rh (0.0000, 0.5000, 0.0000) (multiplicity 4)  6 O 1.99-2.10
O (0.0000, 0.4117, 0.2500) (multiplicity 4)  2 Rh 1.99, 1 Cd 2.15
O (0.1068, 0.2864, 0.6156) (multiplicity 8)  1 As 1.75
O (0.1807, 0.0503, 0.9176) (multiplicity 8)  1 As 1.76

***

DFT (PBE) results for a geometry-optimized Ac3AgPd5 structure.

Calculated values
N(E_F) = 0.22 states/eV per atom
ΔE_f = -476 meV per atom

Cell lengths 8.7575, 8.7575, 11.9526 Å; angles 90.00, 90.00, 90.00 degrees
With the nearest neighbours (Å) after each atom.
Space group I4/mcm (No. 140)
Unique sites:
Ac (0.0000, 0.0000, 0.2500) (multiplicity 4)  2 Pd 2.99
Ac (0.1412, 0.3588, 0.0000) (multiplicity 8)  2 Pd 2.75
Ag (0.0000, 0.5000, 0.2500) (multiplicity 4)  4 Pd 2.65
Pd (0.0000, 0.0000, 0.0000) (multiplicity 4)  2 Ac 2.99
Pd (0.1912, 0.3088, 0.3488) (multiplicity 16)  1 Ag 2.65, 1 Ac 2.75, 1 Pd 2.78

***

DFT (PBE) results for a geometry-optimized Mo5W11 structure.

Calculated values
N(E_F) = 0.52 states/eV per atom
ΔE_f = -11 meV per atom

Cell lengths 6.3586, 6.3577, 6.3588 Å; angles 90.00, 90.01, 90.00 degrees
With the nearest neighbours (Å) after each atom.
Space group Pm (No. 6)
Unique sites:
Mo (0.0000, 0.0000, 0.0000) (multiplicity 1)  2 Mo 2.75, 6 W 2.75
Mo (0.0000, 0.5000, 0.5003) (multiplicity 1)  2 Mo 2.75, 6 W 2.75
Mo (0.5004, 0.0000, 0.9999) (multiplicity 1)  2 Mo 2.75, 6 W 2.75
Mo (0.7502, 0.2499, 0.7502) (multiplicity 2)  5 W 2.75, 3 Mo 2.75
W (0.9998, 0.0000, 0.5005) (multiplicity 1)  2 Mo 2.75, 6 W 2.75-2.76
W (0.9998, 0.5000, 0.9998) (multiplicity 1)  2 Mo 2.75, 6 W 2.75
W (0.2499, 0.2498, 0.2499) (multiplicity 2)  3 Mo 2.75, 5 W 2.75-2.76
W (0.2499, 0.2498, 0.7502) (multiplicity 2)  3 Mo 2.75, 5 W 2.75-2.76
W (0.5004, 0.0000, 0.5004) (multiplicity 1)  2 Mo 2.75, 6 W 2.75-2.76
W (0.5004, 0.5000, 0.9999) (multiplicity 1)  2 Mo 2.75, 6 W 2.75-2.76
W (0.5005, 0.5000, 0.5004) (multiplicity 1)  2 Mo 2.75, 6 W 2.75-2.76
W (0.7502, 0.2498, 0.2499) (multiplicity 2)  3 Mo 2.75, 5 W 2.75

***

DFT (PBE) results for a geometry-optimized NiOsAu structure.

Calculated values
N(E_F) = 1.53 states/eV per atom
ΔE_f = 476 meV per atom

Cell lengths 2.7682, 4.6393, 13.9177 Å; angles 90.00, 90.00, 90.00 degrees
With the nearest neighbours (Å) after each atom.
Space group Fmm2 (No. 42)
Unique sites:
Ni (0.0000, 0.0000, 0.0000) (multiplicity 4)  2 Os 2.47, 2 Au 2.69, 6 Ni 2.70-2.77
Os (0.0000, 0.0000, 0.6473) (multiplicity 4)  2 Ni 2.47, 6 Os 2.70-2.77
Au (0.0000, 0.0000, 0.3345) (multiplicity 4)  2 Ni 2.69, 6 Au 2.70-2.77, 2 Os 2.95

***

DFT (PBE) results for a geometry-optimized BaRe2Os structure.

Calculated values
N(E_F) = 0.91 states/eV per atom
ΔE_f = 839 meV per atom

Cell lengths 2.8763, 3.7554, 7.8007 Å; angles 90.00, 90.20, 90.00 degrees
With the nearest neighbours (Å) after each atom.
Space group P2/m (No. 10)
Unique sites:
Ba (0.0000, 0.0000, 0.0000) (multiplicity 1)  2 Ba 2.88
Re (0.5002, 0.5000, 0.3389) (multiplicity 2)  1 Re 2.51, 4 Os 2.68
Os (0.0000, 0.0000, 0.5000) (multiplicity 1)  8 Re 2.68, 2 Os 2.88

***

DFT (PBE) results for a geometry-optimized ScAl7Ni5 structure.

Calculated values
N(E_F) = 0.46 states/eV per atom
ΔE_f = -589 meV per atom

Cell lengths 4.9609, 8.5657, 8.3994 Å; angles 90.00, 90.00, 90.00 degrees
With the nearest neighbours (Å) after each atom.
Space group Imm2 (No. 44)
Unique sites:
Sc (0.0000, 0.0000, 0.0000) (multiplicity 2)  10 Al 2.80-3.12
Al (0.0000, 0.0000, 0.3331) (multiplicity 2)  6 Ni 2.63, 1 Al 2.69, 1 Sc 2.80
Al (0.0000, 0.0000, 0.6537) (multiplicity 2)  4 Ni 2.55, 5 Al 2.68-2.82
Al (0.0000, 0.2988, 0.5126) (multiplicity 4)  5 Ni 2.42-2.53, 1 Al 2.64
Al (0.0000, 0.3416, 0.9869) (multiplicity 4)  5 Ni 2.49-2.64, 4 Al 2.71-2.77
Al (0.0000, 0.5000, 0.2749) (multiplicity 2)  4 Ni 2.40, 4 Al 2.64-2.68
Ni (0.0000, 0.5000, 0.7303) (multiplicity 2)  6 Al 2.51-2.63, 4 Ni 2.56
Ni (0.2483, 0.2600, 0.2527) (multiplicity 8)  7 Al 2.40-2.64, 3 Ni 2.46-2.56

***

DFT (PBE) results for a geometry-optimized Pr2CuRe structure.

Calculated values
N(E_F) = 0.63 states/eV per atom
ΔE_f = 513 meV per atom

Cell lengths 3.5956, 3.5956, 26.3651 Å; angles 90.00, 90.00, 120.00 degrees
With the nearest neighbours (Å) after each atom.
Space group R-3m (No. 166, hexagonal axes)
Unique sites:
Pr (0.0000, 0.0000, 0.2473) (multiplicity 6)  3 Re 2.97, 3 Cu 3.08
Cu (0.0000, 0.0000, 0.0000) (multiplicity 3)  6 Pr 3.08
Re (0.0000, 0.0000, 0.5000) (multiplicity 3)  6 Pr 2.97

***

DFT (PBE) results for a geometry-optimized PIrCl structure.

Calculated values
N(E_F) = 0.92 states/eV per atom
formation energy from raw total energies = 0.16 eV per atom

Cell lengths 2.9775, 2.9775, 12.2608 Å; angles 90.00, 90.00, 90.00 degrees
With the nearest neighbours (Å) after each atom.
Space group I4mm (No. 107)
Unique sites:
P (0.0000, 0.0000, 0.0000) (multiplicity 2)  4 Ir 2.44
Ir (0.0000, 0.0000, 0.6012) (multiplicity 2)  4 P 2.44
Cl (0.0000, 0.0000, 0.2599) (multiplicity 2)  4 Ir 2.87, 4 Cl 2.98, 1 P 3.19

***

DFT (PBE) results for a geometry-optimized NaHoTe2Au structure.

Calculated values
N(E_F) = 0.57 states/eV per atom
formation energy from raw total energies = -0.80 eV per atom

Cell lengths 7.7869, 4.8176, 8.0599 Å; angles 90.00, 96.37, 90.00 degrees
With the nearest neighbours (Å) after each atom.
Space group P2/c (No. 13)
Unique sites:
Na (0.0000, 0.1130, 0.2500) (multiplicity 2)  6 Te 3.15-3.49
Ho (0.5000, 0.4976, 0.7500) (multiplicity 2)  4 Te 3.06-3.09, 4 Au 3.13-3.15
Te (0.2152, 0.3459, 0.9725) (multiplicity 4)  1 Au 2.76, 2 Ho 3.06-3.09
Au (0.5000, 0.0000, 0.0000) (multiplicity 2)  2 Te 2.76

***

DFT (PBE) results for a geometry-optimized Sc3ReNi structure.

Calculated values
N(E_F) = 0.69 states/eV per atom
ΔE_f = 475 meV per atom

Cell lengths 4.6957, 4.6957, 4.6957 Å; angles 90.00, 90.00, 90.00 degrees
With the nearest neighbours (Å) after each atom.
Space group Pm-3m (No. 221)
Unique sites:
Sc (0.0000, 0.0000, 0.5000) (multiplicity 3)  2 Ni 2.35
Re (0.5000, 0.5000, 0.5000) (multiplicity 1)  12 Sc 3.32
Ni (0.0000, 0.0000, 0.0000) (multiplicity 1)  6 Sc 2.35

***

DFT (PBE) results for a geometry-optimized SbTe structure.

Calculated values
N(E_F) = 0.71 states/eV per atom
formation energy from raw total energies = 0.25 eV per atom

Cell lengths 3.8167, 5.8311, 5.0958 Å; angles 90.00, 90.00, 90.00 degrees
With the nearest neighbours (Å) after each atom.
Space group Cmmm (No. 65)
Unique sites:
Sb (0.0000, 0.0000, 0.0000) (multiplicity 2)  4 Te 3.18, 4 Sb 3.48
Te (0.0000, 0.5000, 0.5000) (multiplicity 2)  4 Sb 3.18, 4 Te 3.48

***

Number 1: final energy -4.6015 eV/atom. Number 2: final energy -5.7000 eV/atom. Number 3: final energy -5.0470 eV/atom. Number 4: final energy -12.3010 eV/atom. Number 5: final energy -6.2867 eV/atom. Number 6: final energy -8.6734 eV/atom. Number 7: final energy -5.3153 eV/atom. Number 8: final energy -6.0125 eV/atom. Number 9: final energy -5.2128 eV/atom. Number 10: final energy -3.8954 eV/atom. Number 11: final energy -6.9694 eV/atom. Number 12: final energy -3.3794 eV/atom.